# 1
VASP calculation (PBE-GGA) on an optimized crystal structure of SrCuPd2.

Lattice parameters (Å, degrees): 4.7909 4.7909 17.1956 90.00 90.00 90.00
Sites, in units of the cell vectors:
Sr (0.0000, 0.0000, 0.0000)
Sr (0.0000, 0.5000, 0.2500)
Sr (0.5000, 0.0000, 0.7500)
Sr (0.5000, 0.5000, 0.5000)
Cu (0.0000, 0.0000, 0.5000)
Cu (0.0000, 0.5000, 0.7500)
Cu (0.5000, 0.0000, 0.2500)
Cu (0.5000, 0.5000, 0.0000)
Pd (0.0904, 0.2500, 0.6250)
Pd (0.2500, 0.5904, 0.8750)
Pd (0.2500, 0.9096, 0.3750)
Pd (0.4096, 0.2500, 0.1250)
Pd (0.5904, 0.7500, 0.1250)
Pd (0.7500, 0.0904, 0.3750)
Pd (0.7500, 0.4096, 0.8750)
Pd (0.9096, 0.7500, 0.6250)

- ΔE to the lowest computed polymorph (meV per atom) = 53
- formation energy (eV per atom) = -0.1194

=====

# 2
VASP calculation (PBE-GGA) on an optimized crystal structure of SrCu3Pd.

Lattice parameters (Å, degrees): 4.7899 4.7899 4.7899 90.00 90.00 90.00
Sites, in units of the cell vectors:
Sr (0.0000, 0.0000, 0.0000)
Cu (0.0000, 0.5000, 0.5000)
Cu (0.5000, 0.0000, 0.5000)
Cu (0.5000, 0.5000, 0.0000)
Pd (0.5000, 0.5000, 0.5000)

- ΔE to the lowest computed polymorph (meV per atom) = 261
- formation energy (eV per atom) = 0.1451

=====

# 3
VASP calculation (PBE-GGA) on an optimized crystal structure of Sr3Cu4Pd2.

Lattice parameters (Å, degrees): 6.0500 6.0500 8.6326 102.26 102.26 42.23
Sites, in units of the cell vectors:
Sr (0.0000, 0.0000, 0.0000)
Sr (0.3309, 0.3309, 0.3368)
Sr (0.6691, 0.6691, 0.6632)
Cu (0.0515, 0.0515, 0.3908)
Cu (0.2755, 0.2755, 0.9487)
Cu (0.7245, 0.7245, 0.0513)
Cu (0.9485, 0.9485, 0.6092)
Pd (0.3903, 0.3903, 0.7258)
Pd (0.6097, 0.6097, 0.2742)

- formation energy (eV per atom) = -0.2780

=====

| no. | D(E_F) (states/eV/cell) |
| --- | --- |
| 1 | 9.3 |
| 2 | 1.4 |
| 3 | 3.5 |